Below is a relaxed TiMn2S5 crystal, with properties calculated at the PBE-GGA level.

Summary:
ΔE_f (raw) ... -3.5 eV/f.u.
Density ... 3.02 g cm⁻³
Total magnetization ... 30.66 μB per cell
DFT total energy ... -201.4 eV for the cell shown
Calculated volume ... 698.9 Å³ per cell

Lattice parameters (Å, degrees): 4.910 11.791 12.072 90.00 90.00 90.00
Space group Fmmm (No. 69)
One atom of each set of equivalent atoms:
Ti (0.000, 0.000, 0.000) (multiplicity 4)
Mn (0.000, 0.196, 0.500) (multiplicity 8)
S (0.000, 0.000, 0.500) (multiplicity 4)
S (0.000, 0.158, 0.127) (multiplicity 16)



Below is a relaxed CeTlTe crystal, with properties calculated at the PBE-GGA level.

Summary:
ΔE_f (raw) ... -2.1 eV/f.u.
Density ... 7.84 g cm⁻³
Total magnetization ... 5.81 μB per cell
DFT total energy ... -81.1 eV for the cell shown
Calculated volume ... 599.8 Å³ per cell

Lattice parameters (Å, degrees): 5.2375 5.2375 25.2479 90.00 90.00 120.00
Space group R-3m (No. 166, hexagonal axes)
One atom of each set of equivalent atoms:
Ce (0.0000, 0.0000, 0.0838) (multiplicity 6)
Tl (0.0000, 0.0000, 0.3514) (multiplicity 6)
Te (0.0000, 0.0000, 0.2140) (multiplicity 6)



Below is a relaxed HoTh2Co6 crystal, with properties calculated at the PBE-GGA level.

Summary:
Density ... 10.25 g cm⁻³
Total magnetization ... 2.31 μB per cell
DFT total energy ... -64.0 eV for the cell shown
Formation enthalpy at 0 K ... -0.218 eV/atom
Calculated volume ... 159.3 Å³ per cell

Lattice parameters (Å, degrees): 6.8075 6.8075 3.9682 90.00 90.00 120.00
Space group P6/mmm (No. 191)
One atom of each set of equivalent atoms:
Ho (0.0000, 0.0000, 0.0000) (multiplicity 1)
Th (0.3333, 0.6667, 0.0000) (multiplicity 2)
Co (0.0000, 0.3327, 0.5000) (multiplicity 6)



Below is a relaxed ZnPb3I crystal, with properties calculated at the PBE-GGA level.

Summary:
ΔE_f (raw) ... 4.0 eV/f.u.
Density ... 6.08 g cm⁻³
Total magnetization ... 0.00 μB per cell
DFT total energy ... -10.0 eV for the cell shown
Calculated volume ... 222.5 Å³ per cell

Lattice parameters (Å, degrees): 6.059 6.059 6.059 90.00 90.00 90.00
Space group Pm-3m (No. 221)
One atom of each set of equivalent atoms:
Zn (0.000, 0.000, 0.000) (multiplicity 1)
Pb (0.000, 0.500, 0.500) (multiplicity 3)
I (0.500, 0.500, 0.500) (multiplicity 1)



Below is a relaxed Li4Nd3Au4 crystal, with properties calculated at the PBE-GGA level.

Summary:
Density ... 8.64 g cm⁻³
Total magnetization ... 0.00 μB per cell
DFT total energy ... -82.9 eV for the cell shown
Formation enthalpy at 0 K ... -0.582 eV/atom
Calculated volume ... 480.1 Å³ per cell

Lattice parameters (Å, degrees): 4.177 7.890 14.569 90.00 90.00 90.00
Space group Immm (No. 71)
One atom of each set of equivalent atoms:
Li (0.000, 0.193, 0.177) (multiplicity 8)
Nd (0.000, 0.000, 0.378) (multiplicity 4)
Nd (0.000, 0.500, 0.500) (multiplicity 2)
Au (0.000, 0.304, 0.000) (multiplicity 4)
Au (0.000, 0.500, 0.281) (multiplicity 4)



Below is a relaxed NaCu4Sb2 crystal, with properties calculated at the PBE-GGA level.

Summary:
ΔE_f (raw) ... -0.7 eV/f.u.
Density ... 6.38 g cm⁻³
Total magnetization ... 0.00 μB per cell
DFT total energy ... -80.0 eV for the cell shown
Calculated volume ... 406.8 Å³ per cell

Lattice parameters (Å, degrees): 4.2854 4.2854 25.5752 90.00 90.00 120.00
Space group R-3m (No. 166, hexagonal axes)
One atom of each set of equivalent atoms:
Na (0.0000, 0.0000, 0.0000) (multiplicity 3)
Cu (0.0000, 0.0000, 0.1439) (multiplicity 6)
Cu (0.0000, 0.0000, 0.4502) (multiplicity 6)
Sb (0.0000, 0.0000, 0.2486) (multiplicity 6)



Below is a relaxed SrH4O6 crystal, with properties calculated at the PBE-GGA level.

Summary:
Density ... 3.02 g cm⁻³
Total magnetization ... 0.00 μB per cell
DFT total energy ... -221.4 eV for the cell shown
Calculated volume ... 413.1 Å³ per cell

Lattice parameters (Å, degrees): 8.212 6.013 8.536 90.00 101.43 90.00
Space group C2/c (No. 15)
One atom of each set of equivalent atoms:
Sr (0.000, 0.167, 0.250) (multiplicity 4)
H (0.090, 0.300, 0.631) (multiplicity 8)
H (0.199, 0.477, 0.945) (multiplicity 8)
O (0.018, 0.471, 0.920) (multiplicity 8)
O (0.172, 0.009, 0.546) (multiplicity 8)
O (0.180, 0.169, 0.681) (multiplicity 8)



Below is a relaxed NaMgTe2Rh crystal, with properties calculated at the PBE-GGA level.

Summary:
ΔE_f (raw) ... 3.5 eV/f.u.
Density ... 4.89 g cm⁻³
Total magnetization ... 0.00 μB per cell
DFT total energy ... -13.0 eV for the cell shown
Calculated volume ... 137.7 Å³ per cell

Lattice parameters (Å, degrees): 5.404 5.404 4.717 90.00 90.00 90.00
Space group P4/mmm (No. 123)
One atom of each set of equivalent atoms:
Na (0.000, 0.000, 0.000) (multiplicity 1)
Mg (0.500, 0.500, 0.500) (multiplicity 1)
Te (0.000, 0.500, 0.000) (multiplicity 2)
Rh (0.000, 0.000, 0.500) (multiplicity 1)



Below is a relaxed Dy4Y5Th crystal, with properties calculated at the PBE-GGA level.

Summary:
Density ... 6.64 g cm⁻³
Total magnetization ... 0.00 μB per cell
DFT total energy ... -109.7 eV for the cell shown
Formation enthalpy at 0 K ... 0.331 eV/atom
Calculated volume ... 664.0 Å³ per cell

Lattice parameters (Å, degrees): 10.207 10.207 6.373 90.00 90.00 90.00
Space group I4 (No. 79)
One atom of each set of equivalent atoms:
Dy (0.050, 0.348, 0.000) (multiplicity 8)
Y (0.000, 0.000, 0.760) (multiplicity 2)
Y (0.146, 0.234, 0.497) (multiplicity 8)
Th (0.000, 0.000, 0.224) (multiplicity 2)



Below is a relaxed GdHoInHg crystal, with properties calculated at the PBE-GGA level.

Summary:
Density ... 10.02 g cm⁻³
Total magnetization ... 31.35 μB per cell
DFT total energy ... -94.5 eV for the cell shown
Formation enthalpy at 0 K ... -0.482 eV/atom
Calculated volume ... 422.6 Å³ per cell

Lattice parameters (Å, degrees): 7.505 7.505 7.505 90.00 90.00 90.00
Space group F-43m (No. 216)
One atom of each set of equivalent atoms:
Gd (0.000, 0.000, 0.000) (multiplicity 4)
Ho (0.000, 0.000, 0.500) (multiplicity 4)
In (0.250, 0.250, 0.250) (multiplicity 4)
Hg (0.250, 0.250, 0.750) (multiplicity 4)



Below is a relaxed TiMn4Ga crystal, with properties calculated at the PBE-GGA level.

Summary:
Density ... 7.78 g cm⁻³
Total magnetization ... 0.00 μB per cell
DFT total energy ... -96.9 eV for the cell shown
Formation enthalpy at 0 K ... -0.145 eV/atom
Calculated volume ... 144.0 Å³ per cell

Lattice parameters (Å, degrees): 9.370 2.882 5.589 90.00 107.37 90.00
Space group C2/m (No. 12)
One atom of each set of equivalent atoms:
Ti (0.000, 0.000, 0.000) (multiplicity 2)
Mn (0.176, 0.500, 0.340) (multiplicity 4)
Mn (0.176, 0.500, 0.837) (multiplicity 4)
Ga (0.000, 0.000, 0.500) (multiplicity 2)



Below is a relaxed Dy2MgTcC crystal, with properties calculated at the PBE-GGA level.

Summary:
Density ... 7.57 g cm⁻³
Total magnetization ... 0.00 μB per cell
DFT total energy ... -31.5 eV for the cell shown
Formation enthalpy at 0 K ... -0.226 eV/atom
Calculated volume ... 100.8 Å³ per cell

Lattice parameters (Å, degrees): 5.012 5.012 4.014 90.00 90.00 90.00
Space group P4/mmm (No. 123)
One atom of each set of equivalent atoms:
Dy (0.000, 0.500, 0.000) (multiplicity 2)
Mg (0.000, 0.000, 0.500) (multiplicity 1)
Tc (0.500, 0.500, 0.500) (multiplicity 1)
C (0.500, 0.500, 0.000) (multiplicity 1)